[1]
Material: In5GaHg12
Method: DFT, PBE-GGA
State: optimized geometry

space-group type	No. 12
DOS at the Fermi energy	0.269	states/eV per atom
calculated formation energy	0.019	eV/atom
DFT total energy	-1.111	eV/atom

a = 5.8423 Å, b = 5.8871 Å, c = 15.9302 Å
α = 90.12°, β = 90.24°, γ = 60.25°
Positions (direct):
Hg 0.8295 0.0000 0.3328
In 0.1667 0.6667 0.5000
Hg 0.6718 0.3275 0.1635
Hg 0.5023 0.3334 0.6686
Hg 0.4977 0.6666 0.3314
Hg 0.0007 0.3275 0.8365
In 0.3335 0.3331 0.0000
Hg 0.3253 0.0000 0.1630
Hg 0.6747 0.0000 0.8370
In 0.6665 0.6669 0.0000
Hg 0.1643 0.3334 0.3314
Hg 0.1705 0.0000 0.6672
Hg 0.8357 0.6666 0.6686
In 0.5000 0.0000 0.5000
Ga 0.0000 0.0000 0.0000
Hg 0.9993 0.6725 0.1635
In 0.8333 0.3333 0.5000
Hg 0.3282 0.6725 0.8365


[2]
Material: Ac2TeClF2
Method: DFT, PBE-GGA
State: optimized geometry

space-group type	No. 164
energy relative to the elements, uncorrected	-2.78	eV per atom
DOS at the Fermi energy	0.358	states/eV per atom
DFT total energy	-5.603	eV/atom

a = 4.3874 Å, b = 4.3874 Å, c = 8.8337 Å
α = 90.00°, β = 90.00°, γ = 120.00°
Positions (direct):
F 0.6667 0.3333 0.7079
Te 0.0000 0.0000 0.0000
F 0.3333 0.6667 0.2921
Ac 0.3333 0.6667 0.7537
Cl 0.0000 0.0000 0.5000
Ac 0.6667 0.3333 0.2463


[3]
Material: LiMgNiBi
Method: DFT, PBE-GGA
State: optimized geometry

space-group type	No. 216
DOS at the Fermi energy	0.388	states/eV per atom
calculated formation energy	-0.187	eV/atom
DFT total energy	-3.480	eV/atom

a = 4.6277 Å, b = 4.6277 Å, c = 4.6277 Å
α = 60.00°, β = 60.00°, γ = 60.00°
Positions (direct):
Mg 0.7500 0.7500 0.7500
Bi 0.2500 0.2500 0.2500
Li 0.5000 0.5000 0.5000
Ni 0.0000 0.0000 0.0000


[4]
Material: Mg2ScIn
Method: DFT, PBE-GGA
State: optimized geometry

space-group type	No. 139
DOS at the Fermi energy	0.692	states/eV per atom
calculated formation energy	-0.134	eV/atom
DFT total energy	-3.199	eV/atom

a = 5.6578 Å, b = 5.6578 Å, c = 5.6578 Å
α = 134.06°, β = 134.06°, γ = 66.99°
Positions (direct):
In 0.7500 0.2500 0.5000
Sc 0.2500 0.7500 0.5000
Mg 0.5000 0.5000 0.0000
Mg 0.0000 0.0000 0.0000


[5]
Material: Tm3Si3Pt
Method: DFT, PBE-GGA
State: optimized geometry

space-group type	No. 12
energy relative to the elements, uncorrected	-0.99	eV per atom
DOS at the Fermi energy	0.546	states/eV per atom
DFT total energy	-6.092	eV/atom

a = 4.2229 Å, b = 5.5655 Å, c = 12.8650 Å
α = 84.32°, β = 80.55°, γ = 67.70°
Positions (direct):
Pt 0.7512 0.1050 0.3926
Tm 0.2565 0.2624 0.2246
Si 0.8869 0.1522 0.0740
Si 0.9653 0.8409 0.2284
Tm 0.4709 0.6824 0.3757
Tm 0.7435 0.7376 0.7754
Si 0.8718 0.7158 0.5406
Si 0.1282 0.2842 0.4594
Tm 0.3962 0.2839 0.9238
Tm 0.5291 0.3176 0.6243
Tm 0.6038 0.7161 0.0762
Pt 0.2488 0.8950 0.6074
Si 0.1131 0.8478 0.9260
Si 0.0347 0.1591 0.7716


Copy entry 4 word for word.
Material: Mg2ScIn
Method: DFT, PBE-GGA
State: optimized geometry

space-group type	No. 139
DOS at the Fermi energy	0.692	states/eV per atom
calculated formation energy	-0.134	eV/atom
DFT total energy	-3.199	eV/atom

a = 5.6578 Å, b = 5.6578 Å, c = 5.6578 Å
α = 134.06°, β = 134.06°, γ = 66.99°
Positions (direct):
In 0.7500 0.2500 0.5000
Sc 0.2500 0.7500 0.5000
Mg 0.5000 0.5000 0.0000
Mg 0.0000 0.0000 0.0000